# BeSi2Br, optimized geometry, DFT GGA-PBE
# SG = I4/mmm, No. 139
# size of the total moment = 0.0 μB/cell
# uncorrected formation energy = 35.7 kJ per mole of atoms
# VASP energy = -0.1356 Ha/atom
data_BeSi2Br
_symmetry_space_group_name_H-M 'P 1'
_symmetry_Int_Tables_number 1
_cell_length_a 6.545
_cell_length_b 6.545
_cell_length_c 6.545
_cell_angle_alpha 150.26
_cell_angle_beta 150.26
_cell_angle_gamma 42.56
loop_
_symmetry_equiv_pos_as_xyz
'x,y,z'
loop_
_atom_site_label
_atom_site_fract_x
_atom_site_fract_y
_atom_site_fract_z
_atom_site_occupancy
Be1 0.000 0.000 0.000 1
Si1 0.205 0.205 0.000 1
Si2 0.795 0.795 0.000 1
Br1 0.500 0.500 0.000 1